# 1
DFT (GGA-PBEsol) results for crystalline LiLa2Cd at its relaxed geometry.

Geometry as POSCAR:
```
LiLa2Cd
1.0
4.624 0.000 0.000
0.000 4.624 0.000
0.000 0.000 10.217
Li La Cd
2 4 2
direct
0.000 0.000 0.000 Li
0.500 0.500 0.500 Li
0.000 0.000 0.500 La
0.000 0.500 0.750 La
0.500 0.000 0.250 La
0.500 0.500 0.000 La
0.000 0.500 0.250 Cd
0.500 0.000 0.750 Cd
```

Properties
- formation energy (eV/atom) = -0.048
- magnetization (Bohr magnetons per cell) = 0.0
- space group = No. 119

# 2
DFT (GGA-PBEsol) results for crystalline Li2LaCd at its relaxed geometry.

Geometry as POSCAR:
```
Li2LaCd
1.0
3.267 0.000 0.000
0.000 5.260 0.000
-0.335 0.000 5.692
Li La Cd
2 1 1
direct
0.159 0.000 0.281 Li
0.841 0.000 0.719 Li
0.500 0.500 0.000 La
0.000 0.500 0.500 Cd
```

Properties
- formation energy (eV/atom) = -0.041
- magnetization (Bohr magnetons per cell) = 0.0
- space group = No. 10

# 3
DFT (GGA-PBEsol) results for crystalline LiLa2Cd at its relaxed geometry.

Geometry as POSCAR:
```
LiLa2Cd
1.0
5.214 0.000 0.000
0.000 5.214 0.000
0.000 0.000 4.141
Li La Cd
1 2 1
direct
0.000 0.000 0.000 Li
0.000 0.500 0.500 La
0.500 0.000 0.500 La
0.500 0.500 0.000 Cd
```

Properties
- formation energy (eV/atom) = -0.111
- magnetization (Bohr magnetons per cell) = 0.0
- space group = No. 123

# 4
DFT (GGA-PBEsol) results for crystalline Li2LaCd at its relaxed geometry.

Geometry as POSCAR:
```
Li2LaCd
1.0
7.288 0.000 0.000
0.000 7.288 0.000
0.000 0.000 7.288
Li La Cd
8 4 4
direct
0.000 0.000 0.000 Li
0.000 0.500 0.500 Li
0.250 0.250 0.250 Li
0.250 0.750 0.750 Li
0.500 0.000 0.500 Li
0.500 0.500 0.000 Li
0.750 0.250 0.750 Li
0.750 0.750 0.250 Li
0.250 0.250 0.750 La
0.250 0.750 0.250 La
0.750 0.250 0.250 La
0.750 0.750 0.750 La
0.000 0.000 0.500 Cd
0.000 0.500 0.000 Cd
0.500 0.000 0.000 Cd
0.500 0.500 0.500 Cd
```

Properties
- formation energy (eV/atom) = -0.071
- magnetization (Bohr magnetons per cell) = 0.0
- space group = No. 216

# 5
DFT (GGA-PBEsol) results for crystalline LiLa2Cd at its relaxed geometry.

Geometry as POSCAR:
```
LiLa2Cd
1.0
3.474 0.000 0.000
0.000 4.686 0.000
0.000 0.000 6.924
Li La Cd
1 2 1
direct
0.000 0.000 0.000 Li
0.500 0.500 0.272 La
0.500 0.500 0.728 La
0.000 0.000 0.500 Cd
```

Properties
- formation energy (eV/atom) = -0.095
- magnetization (Bohr magnetons per cell) = 0.0
- space group = No. 47

# 6
DFT (GGA-PBEsol) results for crystalline LiLa2Cd at its relaxed geometry.

Geometry as POSCAR:
```
LiLa2Cd
1.0
3.622 0.000 0.000
0.000 3.622 0.000
0.000 0.000 8.128
Li La Cd
1 2 1
direct
0.000 0.000 0.000 Li
0.000 0.000 0.424 La
0.500 0.500 0.724 La
0.500 0.500 0.154 Cd
```

Properties
- formation energy (eV/atom) = -0.092
- magnetization (Bohr magnetons per cell) = 0.0
- space group = No. 99

# 7
DFT (GGA-PBEsol) results for crystalline LaMgCd4 at its relaxed geometry.

Geometry as POSCAR:
```
LaMgCd4
1.0
0.000 4.140 4.140
4.140 0.000 4.140
4.140 4.140 0.000
La Mg Cd
1 1 4
direct
0.000 0.000 0.000 La
0.250 0.250 0.250 Mg
0.124 0.625 0.625 Cd
0.625 0.124 0.625 Cd
0.625 0.625 0.124 Cd
0.625 0.625 0.625 Cd
```

Properties
- formation energy (eV/atom) = -0.205
- magnetization (Bohr magnetons per cell) = 0.0
- space group = No. 216

# 8
DFT (GGA-PBEsol) results for crystalline LaMgCd at its relaxed geometry.

Geometry as POSCAR:
```
LaMgCd
1.0
5.149 0.000 0.000
-2.575 4.459 0.000
0.000 0.000 3.408
La Mg Cd
1 1 1
direct
0.000 0.000 0.000 La
0.333 0.667 0.500 Mg
0.667 0.333 0.500 Cd
```

Properties
- formation energy (eV/atom) = -0.260
- magnetization (Bohr magnetons per cell) = 0.0
- space group = No. 187

# 9
DFT (GGA-PBEsol) results for crystalline LaMgCd at its relaxed geometry.

Geometry as POSCAR:
```
LaMgCd
1.0
3.279 0.000 0.000
0.000 4.934 0.000
0.000 0.000 9.680
La Mg Cd
2 2 2
direct
0.000 0.000 0.000 La
0.500 0.500 0.500 La
0.000 0.000 0.670 Mg
0.500 0.500 0.170 Mg
0.000 0.000 0.334 Cd
0.500 0.500 0.834 Cd
```

Properties
- formation energy (eV/atom) = -0.119
- magnetization (Bohr magnetons per cell) = 0.0
- space group = No. 44

# 10
DFT (GGA-PBEsol) results for crystalline LaMgCd at its relaxed geometry.

Geometry as POSCAR:
```
LaMgCd
1.0
3.396 0.000 0.000
0.000 3.396 0.000
0.000 0.000 13.373
La Mg Cd
2 2 2
direct
0.000 0.000 0.000 La
0.500 0.500 0.500 La
0.000 0.000 0.692 Mg
0.500 0.500 0.192 Mg
0.000 0.000 0.325 Cd
0.500 0.500 0.825 Cd
```

Properties
- formation energy (eV/atom) = -0.194
- magnetization (Bohr magnetons per cell) = 0.0
- space group = No. 107

# 11
DFT (GGA-PBEsol) results for crystalline LaMgCd2 at its relaxed geometry.

Geometry as POSCAR:
```
LaMgCd2
1.0
3.333 0.000 0.000
0.000 3.540 0.000
0.000 0.000 8.321
La Mg Cd
1 1 2
direct
0.000 0.000 0.000 La
0.500 0.500 0.302 Mg
0.000 0.000 0.512 Cd
0.500 0.500 0.725 Cd
```

Properties
- formation energy (eV/atom) = -0.162
- magnetization (Bohr magnetons per cell) = 0.0
- space group = No. 25

# 12
DFT (GGA-PBEsol) results for crystalline LaMgCd2 at its relaxed geometry.

Geometry as POSCAR:
```
LaMgCd2
1.0
7.267 0.000 0.000
0.000 7.267 0.000
0.000 0.000 7.267
La Mg Cd
4 4 8
direct
0.000 0.000 0.000 La
0.000 0.500 0.500 La
0.500 0.000 0.500 La
0.500 0.500 0.000 La
0.250 0.250 0.250 Mg
0.250 0.750 0.750 Mg
0.750 0.250 0.750 Mg
0.750 0.750 0.250 Mg
0.000 0.000 0.500 Cd
0.000 0.500 0.000 Cd
0.250 0.250 0.750 Cd
0.250 0.750 0.250 Cd
0.500 0.000 0.000 Cd
0.500 0.500 0.500 Cd
0.750 0.250 0.250 Cd
0.750 0.750 0.750 Cd
```

Properties
- formation energy (eV/atom) = -0.268
- magnetization (Bohr magnetons per cell) = 0.0
- space group = No. 216

Q: Which value of magnetization does entry 1 give?
A: 0.0 Bohr magnetons per cell